The following is a PBE calculation of a relaxed VZn2Pt crystal, from Alexandria via LeMat-Bulk.

Energy   -4.261 eV/atom
Energy relative to the lowest polymorph listed for this composition   0.390 eV/atom

Cell: 2.749 2.749 9.700 Å, 81.85 81.85 60.00°
Each line ends with the local moment (μB).
Positions (direct):
1 Zn 0.090 0.090 0.729  0.03
2 Zn 0.910 0.910 0.271  0.03
3 Pt 0.500 0.500 0.500  0.03
4 V 0.000 0.000 0.000  1.13

=====

The following is a PBE calculation of a relaxed NdScHgPd crystal, from Alexandria via LeMat-Bulk.

Energy   -4.688 eV/atom

Cell: 5.080 5.080 5.080 Å, 60.00 60.00 60.00°
Positions (direct):
1 Nd 0.250 0.250 0.250
2 Pd 0.500 0.500 0.500
3 Sc 0.750 0.750 0.750
4 Hg 0.000 0.000 0.000

=====

The following is a PBE calculation of a relaxed BaPd2Se crystal, from Alexandria via LeMat-Bulk.

Energy   -4.694 eV/atom
Raw formation energy   -0.746 eV per atom

Cell: 5.267 5.267 9.006 Å, 73.00 73.00 90.00°
Positions (direct):
1 Pd 0.424 0.125 0.250
2 Pd 0.375 0.576 0.750
3 Pd 0.326 0.625 0.250
4 Pd 0.875 0.674 0.750
5 Ba 0.000 0.000 0.000
6 Ba 0.750 0.250 0.500
7 Se 0.250 0.750 0.500
8 Se 0.500 0.500 0.000

=====

The following is a PBE calculation of a relaxed Sr3S2Br2 crystal, from Alexandria via LeMat-Bulk.

Energy   -4.473 eV/atom
Energy relative to the lowest polymorph listed for this composition   0.000 eV/atom
Raw formation energy   -2.095 eV per atom

Cell: 4.282 7.535 7.903 Å, 100.35 90.00 106.51°
Positions (direct):
1 Br 0.139 0.278 0.367
2 Br 0.861 0.722 0.633
3 Sr 0.230 0.460 0.766
4 Sr 0.000 0.000 0.000
5 Sr 0.770 0.540 0.234
6 S 0.628 0.257 0.911
7 S 0.372 0.743 0.089

=====

The following is a PBE calculation of a relaxed Ac2La9Pm crystal, from Alexandria via LeMat-Bulk.

Energy   -4.767 eV/atom

Cell: 5.318 5.318 15.941 Å, 90.00 90.00 90.00°
Positions (direct):
1 La 0.500 0.000 0.838
2 La 0.500 0.000 0.500
3 La 0.500 0.500 0.330
4 La 0.500 0.000 0.162
5 La 0.000 0.500 0.162
6 La 0.500 0.500 0.000
7 La 0.000 0.500 0.500
8 La 0.000 0.500 0.838
9 La 0.500 0.500 0.670
10 Ac 0.000 0.000 0.332
11 Ac 0.000 0.000 0.668
12 Pm 0.000 0.000 0.000

=====

The following is a PBE calculation of a relaxed Rb12Au5Br3 crystal, from Alexandria via LeMat-Bulk.

Energy   -2.187 eV/atom
Energy relative to the lowest polymorph listed for this composition   0.075 eV/atom
Raw formation energy   -0.536 eV per atom

Cell: 17.852 17.852 17.852 Å, 109.47 109.47 109.47°
Positions (direct):
1 Rb 0.925 0.100 0.876
2 Rb 0.049 0.425 0.825
3 Rb 0.724 0.600 0.175
4 Rb 0.624 0.575 0.900
5 Rb 0.325 0.549 0.425
6 Rb 0.776 0.325 0.900
7 Rb 0.600 0.876 0.425
8 Rb 0.175 0.075 0.951
9 Rb 0.224 0.675 0.100
10 Rb 0.825 0.925 0.049
11 Rb 0.400 0.124 0.575
12 Rb 0.400 0.276 0.325
13 Rb 0.825 0.900 0.276
14 Rb 0.900 0.075 0.624
15 Rb 0.951 0.575 0.175
16 Rb 0.049 0.624 0.724
17 Rb 0.675 0.451 0.575
18 Rb 0.900 0.825 0.776
19 Rb 0.376 0.425 0.100
20 Rb 0.325 0.776 0.400
21 Rb 0.075 0.900 0.124
22 Rb 0.549 0.325 0.925
23 Rb 0.876 0.276 0.451
24 Rb 0.951 0.376 0.276
25 Rb 0.100 0.925 0.376
26 Rb 0.276 0.876 0.951
27 Rb 0.776 0.451 0.376
28 Rb 0.276 0.400 0.825
29 Rb 0.425 0.376 0.600
30 Rb 0.925 0.825 0.549
31 Rb 0.575 0.951 0.675
32 Rb 0.675 0.224 0.600
33 Rb 0.425 0.049 0.325
34 Rb 0.175 0.100 0.724
35 Rb 0.451 0.776 0.876
36 Rb 0.624 0.049 0.224
37 Rb 0.224 0.549 0.624
38 Rb 0.549 0.224 0.124
39 Rb 0.724 0.124 0.049
40 Rb 0.124 0.400 0.075
41 Rb 0.451 0.675 0.075
42 Rb 0.876 0.600 0.925
43 Rb 0.100 0.175 0.224
44 Rb 0.376 0.951 0.776
45 Rb 0.600 0.724 0.675
46 Rb 0.124 0.724 0.549
47 Rb 0.575 0.624 0.400
48 Rb 0.075 0.175 0.451
49 Au 0.250 0.875 0.125
50 Au 0.875 0.625 0.750
51 Au 0.375 0.125 0.750
52 Au 0.000 0.500 0.500
53 Au 0.000 0.000 0.000
54 Au 0.250 0.375 0.625
55 Au 0.500 0.500 0.000
56 Au 0.125 0.375 0.250
57 Au 0.000 0.500 0.000
58 Au 0.500 0.000 0.000
59 Au 0.125 0.750 0.375
60 Au 0.625 0.875 0.250
61 Au 0.375 0.250 0.125
62 Au 0.500 0.000 0.500
63 Au 0.500 0.500 0.500
64 Au 0.750 0.625 0.375
65 Au 0.000 0.000 0.500
66 Au 0.625 0.750 0.875
67 Au 0.750 0.125 0.875
68 Au 0.875 0.250 0.625
69 Br 0.875 0.125 0.250
70 Br 0.625 0.375 0.750
71 Br 0.625 0.250 0.375
72 Br 0.250 0.125 0.375
73 Br 0.375 0.625 0.250
74 Br 0.750 0.875 0.625
75 Br 0.875 0.750 0.125
76 Br 0.375 0.750 0.625
77 Br 0.125 0.875 0.750
78 Br 0.125 0.250 0.875
79 Br 0.750 0.375 0.125
80 Br 0.250 0.625 0.875

=====

The following is a PBE calculation of a relaxed CdAg2Br crystal, from Alexandria via LeMat-Bulk.

Energy   -1.925 eV/atom
Energy relative to the lowest polymorph listed for this composition   0.215 eV/atom
Raw formation energy   0.148 eV per atom

Cell: 5.943 5.943 5.943 Å, 139.10 139.10 59.22°
Positions (direct):
1 Br 0.250 0.750 0.500
2 Ag 0.000 0.000 0.000
3 Ag 0.500 0.500 0.000
4 Cd 0.750 0.250 0.500

=====

The following is a PBE calculation of a relaxed RbIn9Pd2 crystal, from Alexandria via LeMat-Bulk.

Energy   -3.173 eV/atom

Cell: 8.382 9.521 9.521 Å, 78.83 63.88 63.88°
Positions (direct):
1 In 0.134 0.428 0.183
2 In 0.750 0.500 0.500
3 In 0.005 0.683 0.928
4 In 0.683 0.572 0.183
5 In 0.312 0.683 0.072
6 In 0.616 0.317 0.072
7 In 0.745 0.572 0.817
8 In 0.745 0.817 0.572
9 In 0.683 0.183 0.572
10 In 0.067 0.928 0.317
11 In 0.134 0.183 0.428
12 In 0.438 0.817 0.428
13 In 0.312 0.072 0.683
14 In 0.067 0.317 0.928
15 In 0.438 0.428 0.817
16 In 0.000 0.000 0.000
17 In 0.005 0.928 0.683
18 In 0.616 0.072 0.317
19 Pd 0.875 0.250 0.250
20 Pd 0.875 0.250 0.750
21 Pd 0.875 0.750 0.250
22 Pd 0.375 0.750 0.750
23 Rb 0.250 0.500 0.500
24 Rb 0.500 0.000 0.000

=====

The following is a PBE calculation of a relaxed SrLiNdHg crystal, from Alexandria via LeMat-Bulk.

Energy   -2.368 eV/atom

Cell: 5.529 5.529 5.529 Å, 60.00 60.00 60.00°
Positions (direct):
1 Li 0.250 0.250 0.250
2 Sr 0.000 0.000 0.000
3 Hg 0.750 0.750 0.750
4 Nd 0.500 0.500 0.500

=====

The following is a PBE calculation of a relaxed SrBeZnI2 crystal, from Alexandria via LeMat-Bulk.

Energy   -1.907 eV/atom
Raw formation energy   0.049 eV per atom

Cell: 5.380 5.752 5.380 Å, 90.00 90.00 90.00°
Positions (direct):
1 Zn 0.500 0.500 0.500
2 Sr 0.000 0.500 0.000
3 I 0.500 0.000 0.000
4 I 0.000 0.000 0.500
5 Be 0.000 0.000 0.000

=====

The following is a PBE calculation of a relaxed Ni2POs crystal, from Alexandria via LeMat-Bulk.

Energy   -7.112 eV/atom
Energy relative to the lowest polymorph listed for this composition   0.034 eV/atom

Cell: 4.841 4.841 4.841 Å, 146.87 129.69 61.57°
Positions (direct):
1 Ni 0.716 0.716 0.000
2 Ni 0.284 0.284 0.000
3 P 0.500 0.000 0.500
4 Os 0.000 0.500 0.500

=====

The following is a PBE calculation of a relaxed Th2Cu7 crystal, from Alexandria via LeMat-Bulk.

Energy   -4.952 eV/atom

Cell: 5.203 5.203 12.967 Å, 78.43 78.43 60.00°
Positions (direct):
1 Cu 0.500 0.500 0.500
2 Cu 0.109 0.608 0.676
3 Cu 0.608 0.109 0.676
4 Cu 0.891 0.392 0.324
5 Cu 0.387 0.387 0.838
6 Cu 0.392 0.392 0.324
7 Cu 0.608 0.608 0.676
8 Cu 0.613 0.613 0.162
9 Cu 0.279 0.279 0.163
10 Cu 0.392 0.891 0.324
11 Cu 0.721 0.721 0.837
12 Cu 0.500 0.500 0.000
13 Cu 0.500 0.000 0.000
14 Cu 0.000 0.500 0.000
15 Th 0.051 0.051 0.847
16 Th 0.949 0.949 0.153
17 Th 0.852 0.852 0.444
18 Th 0.148 0.148 0.556